(P)
First-principles (PBE) data for crystalline NdSm2Mg4 at its relaxed geometry, as listed in the Alexandria database.

POSCAR file:
```
NdSm2Mg4
1.0
5.577 0.000 0.000
0.000 6.064 0.000
0.000 -3.032 6.536
Mg Sm Nd
4 2 1
Cartesian
2.789 3.032 1.533
0.000 0.000 3.324
2.789 0.000 5.002
0.000 3.032 3.211
2.789 3.032 4.767
2.789 0.000 1.769
0.000 3.032 0.000
```

## Properties
Calculated density   4.07 g/cm³

***

(Q)
First-principles (PBE) data for crystalline NdSm2Mg4 at its relaxed geometry, as listed in the Alexandria database.

POSCAR file:
```
NdSm2Mg4
1.0
-3.052 -4.109 1.827
-2.021 -0.719 -4.993
8.025 -2.347 0.047
Nd Mg Sm
1 4 2
Cartesian
0.000 0.000 0.000
3.189 -4.002 -3.672
2.673 -5.697 -0.262
-0.237 -3.172 0.553
0.278 -1.478 -2.857
0.175 -4.766 -2.342
2.777 -2.408 -0.777
```

## Properties
Calculated density   4.10 g/cm³

***

Pick (Q): it beats the second-best structure by 217 meV per atom.

***

(P)
First-principles (PBE) data for crystalline Nd12Sm7Mg at its relaxed geometry, as listed in the Alexandria database.

POSCAR file:
```
Nd12Sm7Mg
1.0
9.491 0.000 -3.356
-4.746 8.219 -3.356
0.000 0.000 10.067
Nd Sm Mg
12 7 1
Cartesian
2.339 0.001 6.759
5.982 2.026 -3.355
-3.575 6.194 -0.047
1.237 6.194 3.355
4.745 4.168 3.356
3.509 2.026 0.000
8.321 2.026 3.403
2.406 8.219 -3.403
1.169 2.026 3.308
-1.237 6.193 6.711
3.576 6.193 0.047
0.000 4.052 0.000
2.373 4.110 1.678
0.000 0.000 5.033
4.746 0.000 -1.678
-2.373 4.110 3.356
-2.373 4.110 -1.678
4.746 0.000 3.356
2.373 4.110 -3.356
0.000 0.000 0.000
```

## Properties
Calculated density   5.94 g/cm³

***

(Q)
First-principles (PBE) data for crystalline Nd12Sm7Mg at its relaxed geometry, as listed in the Alexandria database.

POSCAR file:
```
Nd12Sm7Mg
1.0
8.609 1.195 1.794
-1.246 8.602 1.794
-1.246 -1.658 8.629
Sm Mg Nd
7 1 12
Cartesian
3.059 4.070 6.108
3.082 0.835 2.102
5.420 4.728 10.636
6.172 7.429 8.460
0.698 3.411 1.581
-0.055 0.710 3.756
3.035 7.304 10.114
0.000 0.000 0.000
-0.187 3.404 6.445
5.914 2.945 2.999
4.932 7.875 5.063
4.506 1.109 5.624
-0.076 6.135 3.873
6.304 4.735 5.772
3.322 5.652 3.190
0.203 5.194 9.218
1.612 7.030 6.593
6.193 2.004 8.343
2.795 2.487 9.027
1.185 0.264 7.153
```

## Properties
Calculated density   6.68 g/cm³

***

Pick (Q): it beats the second-best structure by 433 meV per atom.

***

(P)
First-principles (PBE) data for crystalline Nd2Sm8Mg at its relaxed geometry, as listed in the Alexandria database.

POSCAR file:
```
Nd2Sm8Mg
1.0
6.007 0.467 0.388
0.878 8.193 -0.529
0.878 0.978 8.152
Nd Sm Mg
2 8 1
Cartesian
4.471 8.128 6.755
3.293 1.510 1.255
5.471 5.884 1.091
5.471 2.149 5.585
1.861 6.744 5.605
2.293 3.754 6.919
5.903 2.894 2.405
2.293 7.489 2.426
2.462 4.009 3.332
5.302 5.629 4.679
0.000 0.000 0.000
```

## Properties
Calculated density   6.32 g/cm³

***

(Q)
First-principles (PBE) data for crystalline Nd2Sm8Mg at its relaxed geometry, as listed in the Alexandria database.

POSCAR file:
```
Nd2Sm8Mg
1.0
5.395 0.000 -1.638
-0.953 7.054 -3.137
0.031 0.076 9.806
Nd Mg Sm
2 1 8
Cartesian
0.402 4.932 1.324
4.072 2.198 3.706
2.698 0.000 -0.819
5.174 1.947 7.335
3.037 2.941 0.298
-0.700 5.183 -2.305
1.437 4.189 4.732
1.857 1.080 6.115
2.617 6.050 -1.085
0.784 1.255 2.583
3.689 5.875 2.447
```

## Properties
Calculated density   6.71 g/cm³

***

Pick (Q): it beats the second-best structure by 271 meV per atom.

***

(P)
First-principles (PBE) data for crystalline NdSmThMg at its relaxed geometry, as listed in the Alexandria database.

POSCAR file:
```
NdSmThMg
1.0
-3.415 0.800 -0.969
-1.097 -3.266 1.173
-1.578 3.593 8.526
Th Sm Mg Nd
1 1 1 1
Cartesian
-3.549 1.710 7.084
-0.887 2.019 4.792
-2.768 -0.068 2.865
-0.126 0.286 0.678
```

## Properties
Calculated density   7.36 g/cm³

***

(Q)
First-principles (PBE) data for crystalline NdSmThMg at its relaxed geometry, as listed in the Alexandria database.

POSCAR file:
```
NdSmThMg
1.0
-5.148 -2.240 -0.099
-1.834 -2.617 -4.617
-0.635 -5.579 0.000
Sm Th Mg Nd
1 1 1 1
Cartesian
-1.904 -2.609 -1.179
0.000 0.000 0.000
-3.808 -5.218 -2.358
-5.712 -7.827 -3.537
```

## Properties
Calculated density   7.31 g/cm³

***

Pick (P): it beats the second-best structure by 194 meV per atom.

***

(P)
First-principles (PBE) data for crystalline NdSmTmMg at its relaxed geometry, as listed in the Alexandria database.

POSCAR file:
```
NdSmTmMg
1.0
5.565 0.000 0.000
2.783 4.820 0.000
2.783 1.607 4.544
Nd Tm Mg Sm
1 1 1 1
Cartesian
0.000 0.000 0.000
8.348 4.820 3.408
2.783 1.607 1.136
5.565 3.213 2.272
```

## Properties
Calculated density   6.65 g/cm³

***

(Q)
First-principles (PBE) data for crystalline NdSmTmMg at its relaxed geometry, as listed in the Alexandria database.

POSCAR file:
```
NdSmTmMg
1.0
3.691 0.000 0.000
0.000 3.691 0.000
0.000 0.000 9.014
Mg Tm Nd Sm
1 1 1 1
Cartesian
1.846 1.846 5.496
1.846 1.846 0.943
0.000 0.000 3.370
0.000 0.000 7.570
```

## Properties
Calculated density   6.60 g/cm³

***

Pick (Q): it beats the second-best structure by 39 meV per atom.

***

(P)
First-principles (PBE) data for crystalline NdMgSn3 at its relaxed geometry, as listed in the Alexandria database.

POSCAR file:
```
NdMgSn3
1.0
-0.993 -4.466 -2.058
6.002 -0.227 -2.404
2.846 -4.085 7.491
Mg Sn Nd
2 6 2
Cartesian
1.513 -2.172 3.982
3.838 -4.260 1.278
6.173 -5.398 2.621
3.005 -5.278 3.889
5.180 -1.261 0.236
2.424 -3.480 6.381
2.927 -2.952 -1.120
2.346 -1.153 1.371
5.620 -3.872 5.691
-0.269 -2.559 -0.430
```

## Properties
Calculated density   5.97 g/cm³

***

(Q)
First-principles (PBE) data for crystalline NdMgSn3 at its relaxed geometry, as listed in the Alexandria database.

POSCAR file:
```
NdMgSn3
1.0
6.296 0.065 0.000
-0.066 6.376 0.000
0.000 0.000 13.297
Mg Sn Nd
4 12 4
Cartesian
1.574 0.016 1.475
1.541 3.204 1.476
4.722 0.049 11.822
4.689 3.237 11.820
4.353 4.827 1.078
3.067 4.815 9.769
1.541 3.204 6.651
1.877 1.614 12.219
6.215 4.847 3.528
5.025 1.647 1.078
1.574 0.016 6.651
3.164 1.626 3.528
1.205 4.794 12.219
4.722 0.049 6.646
4.689 3.237 6.645
0.016 1.593 9.769
3.081 4.813 4.137
3.150 1.627 9.159
6.229 4.846 9.159
0.002 1.595 4.137
```

## Properties
Calculated density   6.53 g/cm³

***

Pick (Q): it beats the second-best structure by 122 meV per atom.

***

(P)
First-principles (PBE) data for crystalline NdMgSn2 at its relaxed geometry, as listed in the Alexandria database.

POSCAR file:
```
NdMgSn2
1.0
5.345 0.000 0.000
2.673 4.629 0.000
2.673 1.543 4.364
Sn Mg Nd
2 1 1
Cartesian
2.673 1.543 1.091
8.018 4.629 3.273
5.345 3.086 2.182
0.000 0.000 0.000
```

## Properties
Calculated density   6.24 g/cm³

***

(Q)
First-principles (PBE) data for crystalline NdMgSn2 at its relaxed geometry, as listed in the Alexandria database.

POSCAR file:
```
NdMgSn2
1.0
-3.813 1.466 1.889
-2.417 -3.577 -2.104
0.815 -2.797 3.818
Mg Sn Nd
1 2 1
Cartesian
-1.907 0.733 0.944
-1.209 -1.788 -1.052
0.408 -1.398 1.909
-2.708 -2.453 1.801
```

## Properties
Calculated density   6.49 g/cm³

***

Pick (Q): it beats the second-best structure by 197 meV per atom.

***

(P)
First-principles (PBE) data for crystalline NdMgSn2 at its relaxed geometry, as listed in the Alexandria database.

POSCAR file:
```
NdMgSn2
1.0
3.505 0.000 0.000
1.753 3.036 0.000
1.753 1.012 10.079
Sn Nd Mg
2 1 1
Cartesian
1.753 1.012 2.330
5.258 3.036 7.749
3.505 2.024 5.040
0.000 0.000 0.000
```

## Properties
Calculated density   6.29 g/cm³

***

(Q)
First-principles (PBE) data for crystalline NdMgSn2 at its relaxed geometry, as listed in the Alexandria database.

POSCAR file:
```
NdMgSn2
1.0
-2.240 3.353 -1.978
-3.888 -1.812 1.331
0.460 5.575 8.931
Nd Sn Mg
2 4 2
Cartesian
-1.823 0.555 3.007
-0.781 5.790 5.601
-1.033 2.736 0.709
0.230 2.788 4.466
-1.572 3.609 7.899
-2.834 3.558 4.142
-3.064 0.770 -0.323
0.000 0.000 0.000
```

## Properties
Calculated density   6.34 g/cm³

***

(R)
First-principles (PBE) data for crystalline NdMgSn2 at its relaxed geometry, as listed in the Alexandria database.

POSCAR file:
```
NdMgSn2
1.0
-1.005 3.695 0.152
-3.251 -0.808 -1.861
-3.278 -1.147 6.225
Sn Mg Nd
2 1 1
Cartesian
-0.709 -0.248 1.347
-2.569 -0.899 4.878
-2.128 1.443 -0.855
-3.767 0.870 2.258
```

## Properties
Calculated density   6.44 g/cm³

***

Pick (Q): it beats the second-best structure by 128 meV per atom.